# 1
Material: TaBeOs2
Method: DFT, PBE
State: relaxed

## Properties
Space-group type = No. 35
ΔE_f = 0.3508 eV/atom
V = 14.31 A^3/atom

Cell and atoms, written as extended XYZ:
```
4
Lattice="1.479 -2.268 0.000 1.479 2.268 0.000 0.000 0.000 8.530" Properties=species:S:1:pos:R:3 pbc="T T T"
Ta 0.000 0.000 0.000
Be 1.479 0.000 6.422
Os 0.000 0.000 4.610
Os 1.479 0.000 2.292
```


# 2
Material: Na2TbNdO4
Method: DFT, PBE
State: relaxed

## Properties
Space-group type = No. 10
Uncorrected energy = -6.669 eV/atom
V = 15.09 A^3/atom

Cell and atoms, written as extended XYZ:
```
8
Lattice="5.975 0.000 0.000 0.000 3.521 0.000 -2.080 0.000 5.737" Properties=species:S:1:pos:R:3 pbc="T T T"
Na 0.000 0.000 0.000
Na -1.040 1.761 2.869
Tb 1.948 0.000 2.869
Nd 2.988 1.761 0.000
O 0.136 0.000 4.321
O 1.154 1.761 1.546
O 2.742 1.761 4.191
O 3.760 0.000 1.416
```


# 3
Material: Er2Zn2CdRh5
Method: DFT, PBE
State: relaxed

## Properties
Space-group type = No. 127
ΔE_f = -0.5361 eV/atom
V = 17.08 A^3/atom

Cell and atoms, written as extended XYZ:
```
20
Lattice="9.578 0.000 0.000 0.000 9.578 0.000 0.000 0.000 3.724" Properties=species:S:1:pos:R:3 pbc="T T T"
Er 1.677 3.112 0.000
Er 3.112 7.901 0.000
Er 6.466 1.677 0.000
Er 7.901 6.466 0.000
Zn 1.175 5.964 0.000
Zn 3.615 1.175 0.000
Zn 5.964 8.404 0.000
Zn 8.404 3.615 0.000
Cd 0.000 0.000 0.000
Cd 4.789 4.789 0.000
Rh 0.000 4.789 1.862
Rh 0.687 7.598 1.862
Rh 1.981 0.687 1.862
Rh 2.808 5.476 1.862
Rh 4.102 2.808 1.862
Rh 4.789 0.000 1.862
Rh 5.476 6.770 1.862
Rh 6.770 4.102 1.862
Rh 7.598 8.891 1.862
Rh 8.891 1.981 1.862
```


# 4
Material: SmMg2Zn2Ga
Method: DFT, PBE
State: relaxed

## Properties
Space-group type = No. 139
ΔE_f = 0.0538 eV/atom
V = 23.55 A^3/atom

Cell and atoms, written as extended XYZ:
```
6
Lattice="-2.539 2.539 5.479 2.539 -2.539 5.479 2.539 2.539 -5.479" Properties=species:S:1:pos:R:3 pbc="T T T"
Sm 0.000 0.000 0.000
Mg 2.539 0.000 2.740
Mg 0.000 2.539 2.740
Zn 0.000 0.000 3.100
Zn 0.000 0.000 7.859
Ga 0.000 0.000 5.479
```


# 5
Material: CeMgScPd
Method: DFT, PBE
State: relaxed

## Properties
Space-group type = No. 216
ΔE_f = -0.2563 eV/atom
V = 22.70 A^3/atom

Cell and atoms, written as extended XYZ:
```
4
Lattice="0.000 3.567 3.567 3.567 0.000 3.567 3.567 3.567 0.000" Properties=species:S:1:pos:R:3 pbc="T T T"
Ce 0.000 0.000 0.000
Mg 5.351 5.351 5.351
Sc 3.567 3.567 3.567
Pd 1.784 1.784 1.784
```


# 6
Material: Ba2ScSb2S6
Method: DFT, PBE
State: relaxed

## Properties
Space-group type = No. 12
Uncorrected energy = -5.060 eV/atom
V = 29.37 A^3/atom

Cell and atoms, written as extended XYZ:
```
11
Lattice="6.922 -3.580 0.000 6.922 3.580 0.000 -4.097 0.000 6.520" Properties=species:S:1:pos:R:3 pbc="T T T"
Ba 2.367 0.000 1.377
Ba 7.380 0.000 5.142
Sc -2.049 0.000 3.260
Sb 3.090 0.000 5.096
Sb 6.657 0.000 1.423
S 5.015 1.837 1.296
S 0.427 0.000 3.868
S 4.732 1.837 5.224
S 5.015 -1.837 1.296
S 9.321 0.000 2.652
S 4.732 -1.837 5.224
```


What did the first record say?
Material: TaBeOs2
Method: DFT, PBE
State: relaxed

## Properties
Space-group type = No. 35
ΔE_f = 0.3508 eV/atom
V = 14.31 A^3/atom

Cell and atoms, written as extended XYZ:
```
4
Lattice="1.479 -2.268 0.000 1.479 2.268 0.000 0.000 0.000 8.530" Properties=species:S:1:pos:R:3 pbc="T T T"
Ta 0.000 0.000 0.000
Be 1.479 0.000 6.422
Os 0.000 0.000 4.610
Os 1.479 0.000 2.292
```


> Which value of V does entry 1 give?

14.31 A^3/atom


> The highest V belongs to which entry?

Ba2ScSb2S6